Version w
Material: NaSr2CaRh
Method: DFT, GGA-PBE
State: optimized geometry

Calculated values
Magnetic moment in μB per atom: 0.000

```
NaSr2CaRh
1.0
5.766 0.000 0.000
0.000 5.766 0.000
0.000 0.000 5.826
Na Sr Ca Rh
1 2 1 1
direct
0.000 0.000 0.000
0.000 0.500 0.500
0.500 0.000 0.500
0.500 0.500 0.000
0.000 0.000 0.500
```

=====

Version x
Material: NaSr2CaRh
Method: DFT, GGA-PBE
State: optimized geometry

Calculated values
Magnetic moment in μB per atom: 0.000

```
NaSr2CaRh
1.0
5.928 0.000 0.000
0.000 5.928 0.000
0.000 0.000 5.594
Na Sr Ca Rh
1 2 1 1
direct
0.000 0.000 0.000
0.000 0.500 0.500
0.500 0.000 0.500
0.500 0.500 0.000
0.500 0.500 0.500
```

=====

Computed relative energies in units of kJ/mol of atoms: version w 21.6; version x 0.0

=====

Version w
Material: NaCa2Ru
Method: DFT, GGA-PBE
State: optimized geometry

Calculated values
Magnetic moment in μB per atom: 0.000

```
NaCa2Ru
1.0
-4.011 4.011 5.712
4.011 -4.011 5.712
4.011 4.011 -5.712
Na Ca Ru
2 4 2
direct
0.000 0.000 0.000
0.750 0.250 0.500
0.372 0.625 0.247
0.375 0.622 0.747
0.378 0.125 0.753
0.875 0.628 0.253
0.250 0.750 0.500
0.500 0.500 0.000
```

=====

Version x
Material: NaCa2Ru
Method: DFT, GGA-PBE
State: optimized geometry

Calculated values
Magnetic moment in μB per atom: 0.000

```
NaCa2Ru
1.0
3.485 0.000 0.000
0.000 3.485 0.000
0.000 0.000 9.364
Na Ca Ru
1 2 1
direct
0.000 0.000 0.000
0.500 0.500 0.325
0.500 0.500 0.675
0.000 0.000 0.500
```

=====

Computed relative energies in units of kJ/mol of atoms: version w 55.2; version x 0.0

=====

Version w
Material: NaCa3Ru
Method: DFT, GGA-PBE
State: optimized geometry

Calculated values
Magnetic moment in μB per atom: 0.000

```
NaCa3Ru
1.0
5.566 0.000 0.000
0.000 5.566 0.000
0.000 0.000 5.566
Na Ca Ru
1 3 1
direct
0.000 0.000 0.000
0.000 0.500 0.500
0.500 0.000 0.500
0.500 0.500 0.000
0.500 0.500 0.500
```

=====

Version x
Material: NaCa3Ru
Method: DFT, GGA-PBE
State: optimized geometry

Calculated values
Magnetic moment in μB per atom: 0.275

```
NaCa3Ru
1.0
5.623 0.000 0.000
0.000 5.623 0.000
0.000 0.000 5.623
Na Ca Ru
1 3 1
direct
0.000 0.000 0.000
0.000 0.000 0.500
0.000 0.500 0.000
0.500 0.000 0.000
0.500 0.500 0.500
```

=====

Computed relative energies in units of kJ/mol of atoms: version w 0.0; version x 101.8

=====

Version w
Material: Na2CaZrRu
Method: DFT, GGA-PBE
State: optimized geometry

Calculated values
Magnetic moment in μB per atom: 1.119

```
Na2CaZrRu
1.0
5.626 0.000 0.000
0.000 5.626 0.000
0.000 0.000 5.813
Na Ca Zr Ru
2 1 1 1
direct
0.000 0.500 0.000
0.500 0.000 0.000
0.000 0.000 0.500
0.000 0.000 0.000
0.500 0.500 0.500
```

=====

Version x
Material: Na2CaZrRu
Method: DFT, GGA-PBE
State: optimized geometry

Calculated values
Magnetic moment in μB per atom: 0.002

```
Na2CaZrRu
1.0
4.689 0.000 0.000
0.000 4.689 0.000
0.000 0.000 5.485
Na Ca Zr Ru
2 1 1 1
direct
0.000 0.500 0.000
0.500 0.000 0.000
0.000 0.000 0.000
0.000 0.000 0.500
0.500 0.500 0.500
```

=====

Computed relative energies in units of kJ/mol of atoms: version w 19.6; version x 0.0

=====

Version w
Material: Na3CaS
Method: DFT, GGA-PBE
State: optimized geometry

Calculated values
Magnetic moment in μB per atom: 0.134

```
Na3CaS
1.0
6.150 0.000 0.000
0.000 6.150 0.000
0.000 0.000 6.150
Na Ca S
3 1 1
direct
0.000 0.000 0.500
0.000 0.500 0.000
0.500 0.000 0.000
0.000 0.000 0.000
0.500 0.500 0.500
```

=====

Version x
Material: Na3CaS
Method: DFT, GGA-PBE
State: optimized geometry

Calculated values
Magnetic moment in μB per atom: 0.001

```
Na3CaS
1.0
5.530 0.000 0.000
0.000 5.530 0.000
0.000 0.000 5.530
Na Ca S
3 1 1
direct
0.000 0.000 0.500
0.000 0.500 0.000
0.500 0.000 0.000
0.500 0.500 0.500
0.000 0.000 0.000
```

=====

Computed relative energies in units of kJ/mol of atoms: version w 101.6; version x 0.0

=====

Version w
Material: NaCa3S
Method: DFT, GGA-PBE
State: optimized geometry

Calculated values
Magnetic moment in μB per atom: 0.000

```
NaCa3S
1.0
5.831 0.000 0.000
0.000 5.831 0.000
0.000 0.000 5.831
Na Ca S
1 3 1
direct
0.000 0.000 0.000
0.000 0.000 0.500
0.000 0.500 0.000
0.500 0.000 0.000
0.500 0.500 0.500
```

=====

Version x
Material: NaCa3S
Method: DFT, GGA-PBE
State: optimized geometry

Calculated values
Magnetic moment in μB per atom: 0.000

```
NaCa3S
1.0
5.596 0.000 0.000
0.000 5.596 0.000
0.000 0.000 5.596
Na Ca S
1 3 1
direct
0.000 0.000 0.000
0.000 0.500 0.500
0.500 0.000 0.500
0.500 0.500 0.000
0.500 0.500 0.500
```

=====

Computed relative energies in units of kJ/mol of atoms: version w 105.5; version x 0.0